Record 1
PBE ZrCrOs2, optimized geometry; crystal system = orthorhombic; energy relative to the elements = 113 meV/atom
1.0
5.235 0.008 -0.006
2.385 4.660 0.006
-3.322 -3.131 2.562
Cr Os Zr
1 2 1
Cartesian
1.376 1.894 1.284
2.888 -0.379 1.278
0.062 0.038 0.000
3.782 2.317 0.000


Record 2
PBE FeAgPt4, optimized geometry; crystal system = cubic; energy relative to the elements = 133 meV/atom; excess energy over the best structure of this formula in the dataset = 249 meV/atom
1.0
0.000 3.713 3.713
3.713 0.000 3.713
3.713 3.713 0.000
Pt Fe Ag
4 1 1
Cartesian
4.642 2.784 4.642
2.784 2.784 2.784
4.642 4.642 2.784
2.784 4.642 4.642
0.000 0.000 0.000
5.570 5.570 5.570


Record 3
PBE Al2CoRu2, optimized geometry; crystal system = tetragonal; energy relative to the elements = -189 meV/atom; excess energy over the best structure of this formula in the dataset = 0 meV/atom
1.0
6.721 0.000 0.000
0.000 6.721 0.000
0.000 0.000 3.058
Al Ru Co
4 4 2
Cartesian
0.931 2.430 0.000
4.291 0.931 0.000
5.790 4.291 0.000
2.430 5.790 0.000
4.446 5.636 1.529
2.275 1.085 1.529
1.085 4.446 1.529
5.636 2.275 1.529
3.361 3.361 0.000
0.000 0.000 0.000


Record 4
PBE Be6Co2Ni, optimized geometry; crystal system = hexagonal; energy relative to the elements = -298 meV/atom
1.0
2.343 0.364 0.235
-0.559 5.399 -2.782
1.798 -0.013 6.298
Be Co Ni
6 2 1
Cartesian
0.800 1.865 1.217
2.783 3.885 2.535
0.984 1.991 -0.815
0.987 0.055 2.150
2.596 5.694 1.602
0.800 3.771 -1.732
1.794 1.912 3.351
1.789 3.837 0.401
0.000 0.000 0.000